No. 1
{
  "formula": "Pu2HfNb",
  "functional": "PBE",
  "state": "optimized geometry",
  "lattice_angstrom": [[0.000, 3.543, 3.543], [3.543, 0.000, 3.543], [3.543, 3.543, 0.000]],
  "species": ["Pu", "Pu", "Hf", "Nb"],
  "fractional_positions": [[0.250, 0.250, 0.250], [0.750, 0.750, 0.750], [0.000, 0.000, 0.000], [0.500, 0.500, 0.500]],
  "e_above_lowest_polymorph_mev_per_atom": 28,
  "formation_enthalpy_0k_kj_per_mol_atoms": 35,
  "magnetic_moment_mub_per_fu": 10.873
}

=====

No. 2
{
  "formula": "PuHf2Nb",
  "functional": "PBE",
  "state": "optimized geometry",
  "lattice_angstrom": [[4.786, 0.000, 0.000], [0.000, 4.786, 0.000], [0.000, 0.000, 3.732]],
  "species": ["Pu", "Hf", "Hf", "Nb"],
  "fractional_positions": [[0.000, 0.000, 0.000], [0.000, 0.500, 0.500], [0.500, 0.000, 0.500], [0.500, 0.500, 0.000]],
  "e_above_lowest_polymorph_mev_per_atom": 62,
  "formation_enthalpy_0k_kj_per_mol_atoms": 20,
  "magnetic_moment_mub_per_fu": 5.845
}